Version a
First-principles (PBE-GGA) data for crystalline LiRePt2 at its relaxed geometry, as listed in the Alexandria database.

a b c (Å): 6.185 6.185 6.185
angles (deg): 90.00 90.00 90.00
Space group Fm-3m (No. 225)
Unique sites:
Li 0.000 0.000 0.000
Re 0.000 0.000 0.500
Pt 0.250 0.250 0.250

Values from the calculation:
**Density of states at the Fermi level**: 14.69 states/eV per cell
**Calculated volume**: 236.60 Å³ per cell
**M_tot**: 0.00 μB per cell



Version b
First-principles (PBE-GGA) data for crystalline LiRePt2 at its relaxed geometry, as listed in the Alexandria database.

a b c (Å): 2.7561 2.7561 27.5068
angles (deg): 90.00 90.00 120.00
Space group R3m (No. 160, hexagonal axes)
Unique sites:
Li 0.0000 0.0000 0.0000
Re 0.0000 0.0000 0.2446
Pt 0.0000 0.0000 0.4986
Pt 0.0000 0.0000 0.7438

Values from the calculation:
**Density of states at the Fermi level**: 11.23 states/eV per cell
**Calculated volume**: 180.95 Å³ per cell
**M_tot**: 1.55 μB per cell



Version c
First-principles (PBE-GGA) data for crystalline LiRePt2 at its relaxed geometry, as listed in the Alexandria database.

a b c (Å): 9.190 2.710 4.769
angles (deg): 90.00 97.20 90.00
Space group Cm (No. 8)
Unique sites:
Li 0.000 0.000 0.000
Re 0.230 0.000 0.668
Pt 0.249 0.500 0.156
Pt 0.489 0.000 0.501

Values from the calculation:
**Density of states at the Fermi level**: 3.90 states/eV per cell
**Calculated volume**: 117.83 Å³ per cell
**M_tot**: 0.00 μB per cell



Version d
First-principles (PBE-GGA) data for crystalline LiRePt2 at its relaxed geometry, as listed in the Alexandria database.

a b c (Å): 2.790 4.635 9.407
angles (deg): 90.00 90.00 90.00
Space group Cmm2 (No. 35)
Unique sites:
Li 0.000 0.000 0.000
Re 0.000 0.500 0.258
Pt 0.000 0.000 0.503
Pt 0.000 0.500 0.771

Values from the calculation:
**Density of states at the Fermi level**: 6.18 states/eV per cell
**Calculated volume**: 121.62 Å³ per cell
**M_tot**: 0.00 μB per cell



Taking the most stable structure as the zero point, the relative energies in meV/atom are version a 291; version b 226; version c 0; version d 320.



Version a
First-principles (PBE-GGA) data for crystalline LiRePt2 at its relaxed geometry, as listed in the Alexandria database.

a b c (Å): 2.721 2.721 7.991
angles (deg): 90.00 90.00 90.00
Space group P4mm (No. 99)
Unique sites:
Li 0.000 0.000 0.000
Re 0.500 0.500 0.733
Pt 0.000 0.000 0.493
Pt 0.500 0.500 0.225

Values from the calculation:
**Density of states at the Fermi level**: 3.60 states/eV per cell
**Calculated volume**: 59.17 Å³ per cell
**M_tot**: 0.00 μB per cell



Version b
First-principles (PBE-GGA) data for crystalline LiRePt2 at its relaxed geometry, as listed in the Alexandria database.

a b c (Å): 5.630 7.661 2.704
angles (deg): 90.00 90.00 90.00
Space group Cmmm (No. 65)
Unique sites:
Li 0.000 0.000 0.000
Re 0.000 0.500 0.000
Pt 0.250 0.250 0.500

Values from the calculation:
**Density of states at the Fermi level**: 5.11 states/eV per cell
**Calculated volume**: 116.63 Å³ per cell
**M_tot**: 1.21 μB per cell



Taking the most stable structure as the zero point, the relative energies in meV/atom are version a 272; version b 0.



Version a
First-principles (PBE-GGA) data for crystalline LiRe3Pt at its relaxed geometry, as listed in the Alexandria database.

a b c (Å): 4.796 4.796 4.796
angles (deg): 90.00 90.00 90.00
Space group Pm-3m (No. 221)
Unique sites:
Li 0.000 0.000 0.000
Re 0.000 0.500 0.500
Pt 0.500 0.500 0.500

Values from the calculation:
**Density of states at the Fermi level**: 6.02 states/eV per cell
**Calculated volume**: 110.31 Å³ per cell
**M_tot**: 1.65 μB per cell



Version b
First-principles (PBE-GGA) data for crystalline LiRe3Pt at its relaxed geometry, as listed in the Alexandria database.

a b c (Å): 4.123 4.123 4.123
angles (deg): 90.00 90.00 90.00
Space group Pm-3m (No. 221)
Unique sites:
Li 0.000 0.000 0.000
Re 0.000 0.000 0.500
Pt 0.500 0.500 0.500

Values from the calculation:
**Density of states at the Fermi level**: 2.66 states/eV per cell
**Calculated volume**: 70.07 Å³ per cell
**M_tot**: 0.00 μB per cell



Taking the most stable structure as the zero point, the relative energies in meV/atom are version a 1201; version b 0.



Version a
First-principles (PBE-GGA) data for crystalline LiRePt3 at its relaxed geometry, as listed in the Alexandria database.

a b c (Å): 4.221 4.221 4.221
angles (deg): 90.00 90.00 90.00
Space group Pm-3m (No. 221)
Unique sites:
Li 0.000 0.000 0.000
Re 0.500 0.500 0.500
Pt 0.000 0.000 0.500

Values from the calculation:
**Density of states at the Fermi level**: 3.13 states/eV per cell
**Calculated volume**: 75.19 Å³ per cell
**M_tot**: 3.84 μB per cell



Version b
First-principles (PBE-GGA) data for crystalline LiRePt3 at its relaxed geometry, as listed in the Alexandria database.

a b c (Å): 4.858 4.858 4.858
angles (deg): 90.00 90.00 90.00
Space group Pm-3m (No. 221)
Unique sites:
Li 0.000 0.000 0.000
Re 0.500 0.500 0.500
Pt 0.000 0.500 0.500

Values from the calculation:
**Density of states at the Fermi level**: 3.81 states/eV per cell
**Calculated volume**: 114.67 Å³ per cell
**M_tot**: 0.00 μB per cell



Taking the most stable structure as the zero point, the relative energies in meV/atom are version a 0; version b 55.



Version a
First-principles (PBE-GGA) data for crystalline LiPt2Rh at its relaxed geometry, as listed in the Alexandria database.

a b c (Å): 3.284 3.284 5.419
angles (deg): 90.00 90.00 90.00
Space group P4mm (No. 99)
Unique sites:
Li 0.000 0.000 0.000
Pt 0.000 0.000 0.506
Pt 0.500 0.500 0.234
Rh 0.500 0.500 0.743

Values from the calculation:
**Density of states at the Fermi level**: 3.81 states/eV per cell
**Calculated volume**: 58.44 Å³ per cell
**M_tot**: 0.00 μB per cell



Version b
First-principles (PBE-GGA) data for crystalline LiPt2Rh at its relaxed geometry, as listed in the Alexandria database.

a b c (Å): 3.853 3.853 7.701
angles (deg): 90.00 90.00 90.00
Space group I4/mmm (No. 139)
Unique sites:
Li 0.000 0.000 0.000
Pt 0.000 0.500 0.250
Rh 0.000 0.000 0.500

Values from the calculation:
**Density of states at the Fermi level**: 7.43 states/eV per cell
**Calculated volume**: 114.35 Å³ per cell
**M_tot**: 0.00 μB per cell



Taking the most stable structure as the zero point, the relative energies in meV/atom are version a 195; version b 0.



Version a
First-principles (PBE-GGA) data for crystalline LiPt4Rh at its relaxed geometry, as listed in the Alexandria database.

a b c (Å): 8.157 10.465 4.270
angles (deg): 90.00 90.00 90.00
Space group Cmcm (No. 63)
Unique sites:
Li 0.000 0.171 0.250
Pt 0.169 0.071 0.750
Pt 0.170 0.324 0.750
Rh 0.000 0.427 0.250

Values from the calculation:
**Density of states at the Fermi level**: 27.46 states/eV per cell
**Calculated volume**: 364.50 Å³ per cell
**M_tot**: 0.00 μB per cell



Version b
First-principles (PBE-GGA) data for crystalline LiPt4Rh at its relaxed geometry, as listed in the Alexandria database.

a b c (Å): 7.399 7.399 7.399
angles (deg): 90.00 90.00 90.00
Space group F-43m (No. 216)
Unique sites:
Li 0.000 0.000 0.000
Pt 0.125 0.125 0.625
Rh 0.250 0.250 0.250

Values from the calculation:
**Density of states at the Fermi level**: 26.84 states/eV per cell
**Calculated volume**: 405.03 Å³ per cell
**M_tot**: 7.35 μB per cell



Taking the most stable structure as the zero point, the relative energies in meV/atom are version a 0; version b 132.